VASP calculation (PBE+U) on a relaxed TaCoPO crystal.

* energy above the most stable polymorph in this dataset: 30 meV per atom
* volume: 13.20 Å³/atom
* SG: No. 26

Geometry as CIF:
```
data_TaCoPO
_cell_length_a 3.946
_cell_length_b 5.310
_cell_length_c 5.041
_cell_angle_alpha 90.00
_cell_angle_beta 90.00
_cell_angle_gamma 90.00
_symmetry_space_group_name_H-M 'P 1'
_symmetry_Int_Tables_number 1
_symmetry_space_group_name_Hall 'P 1'
loop_
_atom_site_label
_atom_site_type_symbol
_atom_site_fract_x
_atom_site_fract_y
_atom_site_fract_z
Co1 Co 0.000 0.000 0.125
Co2 Co 0.000 0.000 0.625
O1 O 0.000 0.652 0.377
O2 O 0.000 0.348 0.877
P1 P 0.500 0.189 0.377
P2 P 0.500 0.811 0.877
Ta1 Ta 0.500 0.682 0.376
Ta2 Ta 0.500 0.318 0.876
```